No. 1
PBE Pb2W, relaxed; ΔE to the lowest computed polymorph = 389 meV/atom; energy of formation from the pure elements = 2.9 eV per formula unit; M_tot = 0.00 μB per formula unit; space group = I4/mmm, No. 139
1.0
3.682 0.000 0.000
0.000 3.682 0.000
0.000 0.000 9.995
Pb W
4 2
Direct
0.000 0.000 0.153
0.000 0.000 0.847
0.500 0.500 0.347
0.500 0.500 0.653
0.000 0.000 0.500
0.500 0.500 0.000

---

No. 2
PBE Nd6As3P2Se, relaxed; M_tot = 0.00 μB per formula unit; space group = C2/m, No. 12; total energy = -76.24 eV per cell
1.0
9.213 -2.115 0.000
9.213 2.115 0.000
-1.927 0.000 8.253
Nd As P Se
6 3 2 1
Direct
0.002 0.002 0.258
0.331 0.331 0.420
0.331 0.331 0.910
0.669 0.669 0.090
0.669 0.669 0.580
0.998 0.998 0.742
0.165 0.165 0.834
0.500 0.500 0.500
0.835 0.835 0.166
0.167 0.167 0.333
0.833 0.833 0.667
0.500 0.500 0.000

---

No. 3
PBE ZrCo2GeRu, relaxed; energy of formation from the pure elements = 7.4 eV per formula unit; M_tot = 1.74 μB per formula unit; space group = P4/mmm, No. 123
1.0
4.497 0.000 0.000
0.000 4.497 0.000
0.000 0.000 4.770
Zr Co Ge Ru
1 2 1 1
Direct
0.000 0.000 0.000
0.000 0.500 0.000
0.500 0.000 0.000
0.500 0.500 0.500
0.000 0.000 0.500

---

No. 4
PBE Sc5Co, relaxed; ΔE to the lowest computed polymorph = 169 meV/atom; energy of formation from the pure elements = 0.4 eV per formula unit; M_tot = 0.00 μB per formula unit; space group = P-62m, No. 189
1.0
5.561 0.000 0.000
-2.781 4.816 0.000
0.000 0.000 4.645
Sc Co
5 1
Direct
0.000 0.701 0.000
0.299 0.299 0.000
0.333 0.667 0.500
0.667 0.333 0.500
0.701 0.000 0.000
0.000 0.000 0.500

---

No. 5
PBE Cs2YSiO4, relaxed; M_tot = 0.00 μB per formula unit; space group = Fddd, No. 70; total energy = -102.24 eV per cell
1.0
0.000 6.552 12.574
2.836 0.000 12.574
2.836 6.552 0.000
Cs Y Si O
4 2 2 8
Direct
0.054 0.054 0.696
0.304 0.304 0.946
0.696 0.696 0.054
0.946 0.946 0.304
0.125 0.125 0.125
0.875 0.875 0.875
0.375 0.375 0.375
0.625 0.625 0.625
0.081 0.600 0.522
0.297 0.522 0.600
0.400 0.919 0.703
0.478 0.703 0.919
0.522 0.297 0.081
0.600 0.081 0.297
0.703 0.478 0.400
0.919 0.400 0.478

---

No. 6
PBE BeNi2Br, relaxed; ΔE to the lowest computed polymorph = 427 meV/atom; M_tot = 0.00 μB per formula unit; space group = Fm-3m, No. 225
1.0
5.854 0.000 0.000
0.000 5.854 0.000
0.000 0.000 5.854
Be Ni Br
4 8 4
Direct
0.000 0.000 0.000
0.000 0.500 0.500
0.500 0.000 0.500
0.500 0.500 0.000
0.250 0.250 0.250
0.250 0.250 0.750
0.250 0.750 0.250
0.250 0.750 0.750
0.750 0.250 0.250
0.750 0.250 0.750
0.750 0.750 0.250
0.750 0.750 0.750
0.000 0.000 0.500
0.000 0.500 0.000
0.500 0.000 0.000
0.500 0.500 0.500

---

Please write out number 5 again, unchanged.
PBE Cs2YSiO4, relaxed; M_tot = 0.00 μB per formula unit; space group = Fddd, No. 70; total energy = -102.24 eV per cell
1.0
0.000 6.552 12.574
2.836 0.000 12.574
2.836 6.552 0.000
Cs Y Si O
4 2 2 8
Direct
0.054 0.054 0.696
0.304 0.304 0.946
0.696 0.696 0.054
0.946 0.946 0.304
0.125 0.125 0.125
0.875 0.875 0.875
0.375 0.375 0.375
0.625 0.625 0.625
0.081 0.600 0.522
0.297 0.522 0.600
0.400 0.919 0.703
0.478 0.703 0.919
0.522 0.297 0.081
0.600 0.081 0.297
0.703 0.478 0.400
0.919 0.400 0.478

---

- Look up the M_tot of the fifth one.
  0.00 μB per formula unit